(1)
DFT (PBE) results for a geometry-optimized Be4RuRh structure.

a b c (Å): 2.576 6.624 3.866
angles (deg): 90.00 90.00 90.00
Atoms (fractional coordinates):
Be1 0.500 0.700 0.000
Be2 0.500 0.300 0.000
Be3 0.000 0.193 0.500
Be4 0.000 0.807 0.500
Ru1 0.500 0.500 0.500
Rh1 0.000 0.000 0.000

Properties
Size of the total moment ... 0.0 μB/cell
Energy relative to the lowest polymorph listed for this composition ... 0.3697 eV/atom
Crystal system ... orthorhombic



(2)
DFT (PBE) results for a geometry-optimized CoReOs2 structure.

a b c (Å): 5.306 5.306 6.729
angles (deg): 66.78 66.78 90.00
Atoms (fractional coordinates):
Re1 0.000 0.000 0.000
Re2 0.750 0.250 0.500
Os1 0.598 0.125 0.250
Os2 0.152 0.625 0.250
Os3 0.375 0.402 0.750
Os4 0.875 0.848 0.750
Co1 0.500 0.500 0.000
Co2 0.250 0.750 0.500

Properties
Size of the total moment ... 0.0 μB/cell
Energy relative to the lowest polymorph listed for this composition ... 1.2057 eV/atom
Crystal system ... tetragonal



(3)
DFT (PBE) results for a geometry-optimized ReOs2Pt structure.

a b c (Å): 9.121 9.121 9.121
angles (deg): 17.39 17.39 17.39
Atoms (fractional coordinates):
Os1 0.000 0.000 0.000
Os2 0.253 0.253 0.253
Pt1 0.500 0.500 0.500
Re1 0.748 0.748 0.748

Properties
Size of the total moment ... 0.0 μB/cell
Energy relative to the lowest polymorph listed for this composition ... 0.0277 eV/atom
Crystal system ... trigonal



(4)
DFT (PBE) results for a geometry-optimized TlSiIN2 structure.

a b c (Å): 4.376 4.376 6.648
angles (deg): 90.00 90.00 90.00
Atoms (fractional coordinates):
I1 0.000 0.000 0.500
Tl1 0.000 0.000 0.000
Si1 0.500 0.500 0.500
N1 0.000 0.500 0.000
N2 0.500 0.000 0.000

Properties
Size of the total moment ... 1.9 μB/cell
Energy relative to the lowest polymorph listed for this composition ... 0.8899 eV/atom
Crystal system ... tetragonal



(5)
DFT (PBE) results for a geometry-optimized TlInTe2 structure.

a b c (Å): 4.375 4.375 8.176
angles (deg): 105.46 105.54 90.03
Atoms (fractional coordinates):
Tl1 0.221 0.883 0.228
In1 0.471 0.630 0.728
Te1 0.851 0.511 0.487
Te2 0.592 0.250 0.969

Properties
Size of the total moment ... 0.0 μB/cell
Raw total energy ... -12.6 eV for the cell shown
Crystal system ... monoclinic



(6)
DFT (PBE) results for a geometry-optimized IrRuPb2 structure.

a b c (Å): 8.519 8.519 8.519
angles (deg): 22.48 22.48 22.48
Atoms (fractional coordinates):
Ir1 0.750 0.750 0.750
Pb1 0.999 0.999 0.999
Pb2 0.501 0.501 0.501
Ru1 0.250 0.250 0.250

Properties
Size of the total moment ... 0.0 μB/cell
Energy relative to the lowest polymorph listed for this composition ... 0.2480 eV/atom
Crystal system ... trigonal



(7)
DFT (PBE) results for a geometry-optimized YMo3Ru structure.

a b c (Å): 4.761 4.761 4.761
angles (deg): 90.00 90.00 90.00
Atoms (fractional coordinates):
Y1 0.500 0.500 0.500
Ru1 0.000 0.000 0.000
Mo1 0.000 0.500 0.000
Mo2 0.000 0.000 0.500
Mo3 0.500 0.000 0.000

Properties
Size of the total moment ... 1.2 μB/cell
Energy relative to the lowest polymorph listed for this composition ... 0.0000 eV/atom
Crystal system ... cubic



(8)
DFT (PBE) results for a geometry-optimized LaW3Se structure.

a b c (Å): 4.893 4.893 4.893
angles (deg): 90.00 90.00 90.00
Atoms (fractional coordinates):
Se1 0.500 0.500 0.500
W1 0.000 0.500 0.000
W2 0.000 0.000 0.500
W3 0.500 0.000 0.000
La1 0.000 0.000 0.000

Properties
Size of the total moment ... 0.0 μB/cell
Energy relative to the lowest polymorph listed for this composition ... 1.9179 eV/atom
Crystal system ... cubic



(9)
DFT (PBE) results for a geometry-optimized PmAl2Zn9 structure.

a b c (Å): 3.281 8.637 8.637
angles (deg): 120.00 90.00 90.00
Atoms (fractional coordinates):
Pm1 0.000 0.000 0.000
Al1 0.000 0.667 0.333
Al2 0.000 0.333 0.667
Zn1 0.500 0.816 0.184
Zn2 0.000 0.000 0.500
Zn3 0.000 0.500 0.500
Zn4 0.500 0.816 0.632
Zn5 0.500 0.184 0.816
Zn6 0.500 0.632 0.816
Zn7 0.500 0.184 0.368
Zn8 0.000 0.500 0.000
Zn9 0.500 0.368 0.184

Properties
Size of the total moment ... 0.0 μB/cell
Energy relative to the lowest polymorph listed for this composition ... 0.1450 eV/atom
Crystal system ... hexagonal



(10)
DFT (PBE) results for a geometry-optimized Zr11Zn9Co4 structure.

a b c (Å): 3.263 11.868 11.868
angles (deg): 112.66 90.00 90.00
Atoms (fractional coordinates):
Zr1 0.000 0.587 0.927
Zr2 0.000 0.413 0.073
Zr3 0.000 0.927 0.587
Zr4 0.000 0.073 0.413
Zr5 0.000 0.631 0.369
Zr6 0.000 0.369 0.631
Zr7 0.000 0.838 0.162
Zr8 0.000 0.162 0.838
Zr9 0.000 0.000 0.000
Zr10 0.000 0.695 0.695
Zr11 0.000 0.305 0.305
Zn1 0.500 0.634 0.159
Zn2 0.500 0.366 0.841
Zn3 0.500 0.159 0.634
Zn4 0.500 0.841 0.366
Zn5 0.500 0.785 0.925
Zn6 0.500 0.215 0.075
Zn7 0.500 0.925 0.785
Zn8 0.500 0.075 0.215
Zn9 0.500 0.500 0.500
Co1 0.500 0.551 0.753
Co2 0.500 0.449 0.247
Co3 0.500 0.753 0.551
Co4 0.500 0.247 0.449

Properties
Size of the total moment ... 0.0 μB/cell
Raw total energy ... -142.0 eV for the cell shown
Crystal system ... orthorhombic



(11)
DFT (PBE) results for a geometry-optimized ZnSbAu2 structure.

a b c (Å): 4.557 4.557 3.934
angles (deg): 90.00 90.00 103.06
Atoms (fractional coordinates):
Au1 0.000 0.000 0.000
Au2 0.500 0.500 0.000
Sb1 0.500 0.000 0.500
Zn1 0.000 0.500 0.500

Properties
Size of the total moment ... 0.0 μB/cell
Energy relative to the lowest polymorph listed for this composition ... 0.0830 eV/atom
Crystal system ... orthorhombic



(12)
DFT (PBE) results for a geometry-optimized BaCd9Hg2 structure.

a b c (Å): 6.195 6.195 10.001
angles (deg): 71.96 71.96 60.00
Atoms (fractional coordinates):
Ba1 0.000 0.000 0.000
Cd1 0.665 0.665 0.005
Cd2 0.335 0.335 0.995
Cd3 0.500 0.500 0.500
Cd4 0.405 0.405 0.267
Cd5 0.923 0.405 0.267
Cd6 0.405 0.923 0.267
Cd7 0.595 0.595 0.733
Cd8 0.595 0.077 0.733
Cd9 0.077 0.595 0.733
Hg1 0.862 0.862 0.414
Hg2 0.138 0.138 0.586

Properties
Size of the total moment ... 0.0 μB/cell
Energy relative to the lowest polymorph listed for this composition ... 0.0000 eV/atom
Crystal system ... trigonal



Question: Which value of size of the total moment does entry 8 give?
Answer: 0.0 μB/cell



Question: Which of these has the highest size of the total moment?
Answer: TlSiIN2